Density functional theory data (PBE) for crystalline Tl3AsOs at its relaxed geometry.

Geometry as POSCAR:
```
Tl3AsOs
1.0
5.3117 0.0000 0.0000
0.0000 5.3117 0.0000
0.0000 0.0000 5.3117
Tl As Os
3 1 1
direct
0.0000 0.0000 0.5000
0.0000 0.5000 0.0000
0.5000 0.0000 0.0000
0.5000 0.5000 0.5000
0.0000 0.0000 0.0000
```

Properties
ΔH_f (0 K)	3.84	eV/f.u.
energy above the most stable polymorph in this dataset	0.000	eV/atom
calculated density	9.7	g cm⁻³
space group	Pm-3m